(1)
This record from the Alexandria database describes a relaxed NaH3Au crystal. The functional is GGA-PBEsol.

Structure (CIF):
```
data_NaH3Au
_cell_length_a 3.704
_cell_length_b 3.704
_cell_length_c 3.704
_cell_angle_alpha 90.00
_cell_angle_beta 90.00
_cell_angle_gamma 90.00
_space_group_name_H-M_alt 'P m -3 m'
_space_group_IT_number 221
_space_group_name_Hall '-P 4 2 3'
loop_
_atom_site_label
_atom_site_fract_x
_atom_site_fract_y
_atom_site_fract_z
Na1 0.000 0.000 0.000
H1 0.000 0.500 0.500
Au1 0.500 0.500 0.500
```

Properties
M_tot: 0.00 μB per atom
Excess energy over the best structure of this formula in the dataset: 0 meV per atom

(2)
This record from the Alexandria database describes a relaxed Ni2HAu crystal. The functional is GGA-PBEsol.

Structure (CIF):
```
data_Ni2HAu
_cell_length_a 5.675
_cell_length_b 5.675
_cell_length_c 5.675
_cell_angle_alpha 90.00
_cell_angle_beta 90.00
_cell_angle_gamma 90.00
_space_group_name_H-M_alt 'F m -3 m'
_space_group_IT_number 225
_space_group_name_Hall '-F 4 2 3'
loop_
_atom_site_label
_atom_site_fract_x
_atom_site_fract_y
_atom_site_fract_z
Ni1 0.250 0.250 0.250
H1 0.000 0.000 0.000
Au1 0.000 0.000 0.500
```

Properties
M_tot: 0.00 μB per atom
Uncorrected energy: -4.2618 eV/atom

(3)
This record from the Alexandria database describes a relaxed HAu2O crystal. The functional is GGA-PBEsol.

Structure (CIF):
```
data_HAu2O
_cell_length_a 4.659
_cell_length_b 4.659
_cell_length_c 9.295
_cell_angle_alpha 90.00
_cell_angle_beta 90.00
_cell_angle_gamma 90.00
_space_group_name_H-M_alt 'I -4 2 d'
_space_group_IT_number 122
_space_group_name_Hall 'I -4 2bw'
loop_
_atom_site_label
_atom_site_fract_x
_atom_site_fract_y
_atom_site_fract_z
H1 0.000 0.000 0.000
Au1 0.185 0.250 0.125
O1 0.000 0.000 0.500
```

Properties
M_tot: 0.00 μB per atom
Uncorrected energy: -3.7659 eV/atom

(4)
This record from the Alexandria database describes a relaxed H2AuO crystal. The functional is GGA-PBEsol.

Structure (CIF):
```
data_H2AuO
_cell_length_a 4.984
_cell_length_b 4.984
_cell_length_c 4.984
_cell_angle_alpha 90.00
_cell_angle_beta 90.00
_cell_angle_gamma 90.00
_space_group_name_H-M_alt 'F m -3 m'
_space_group_IT_number 225
_space_group_name_Hall '-F 4 2 3'
loop_
_atom_site_label
_atom_site_fract_x
_atom_site_fract_y
_atom_site_fract_z
H1 0.250 0.250 0.250
Au1 0.000 0.000 0.000
O1 0.000 0.000 0.500
```

Properties
M_tot: 0.00 μB per atom
Uncorrected energy: -3.0609 eV/atom

(5)
This record from the Alexandria database describes a relaxed HOs2Au crystal. The functional is GGA-PBEsol.

Structure (CIF):
```
data_HOs2Au
_cell_length_a 5.920
_cell_length_b 5.920
_cell_length_c 5.920
_cell_angle_alpha 90.00
_cell_angle_beta 90.00
_cell_angle_gamma 90.00
_space_group_name_H-M_alt 'F m -3 m'
_space_group_IT_number 225
_space_group_name_Hall '-F 4 2 3'
loop_
_atom_site_label
_atom_site_fract_x
_atom_site_fract_y
_atom_site_fract_z
H1 0.000 0.000 0.000
Os1 0.250 0.250 0.250
Au1 0.000 0.000 0.500
```

Properties
M_tot: 0.00 μB per atom
Uncorrected energy: -6.5954 eV/atom

(6)
This record from the Alexandria database describes a relaxed SiH2OsAu crystal. The functional is GGA-PBEsol.

Structure (CIF):
```
data_SiH2OsAu
_cell_length_a 3.532
_cell_length_b 3.532
_cell_length_c 4.704
_cell_angle_alpha 90.00
_cell_angle_beta 90.00
_cell_angle_gamma 90.00
_space_group_name_H-M_alt 'P 4/m m m'
_space_group_IT_number 123
_space_group_name_Hall '-P 4 2'
loop_
_atom_site_label
_atom_site_fract_x
_atom_site_fract_y
_atom_site_fract_z
Si1 0.000 0.000 0.000
H1 0.000 0.500 0.500
Os1 0.000 0.000 0.500
Au1 0.500 0.500 0.000
```

Properties
M_tot: 0.00 μB per atom
Uncorrected energy: -5.2178 eV/atom

(7)
This record from the Alexandria database describes a relaxed Tc2HOsAu crystal. The functional is GGA-PBEsol.

Structure (CIF):
```
data_Tc2HOsAu
_cell_length_a 4.923
_cell_length_b 4.923
_cell_length_c 2.942
_cell_angle_alpha 90.00
_cell_angle_beta 90.00
_cell_angle_gamma 90.00
_space_group_name_H-M_alt 'P 4/m m m'
_space_group_IT_number 123
_space_group_name_Hall '-P 4 2'
loop_
_atom_site_label
_atom_site_fract_x
_atom_site_fract_y
_atom_site_fract_z
Tc1 0.000 0.500 0.000
H1 0.000 0.000 0.500
Os1 0.500 0.500 0.500
Au1 0.000 0.000 0.000
```

Properties
M_tot: 0.00 μB per atom
Uncorrected energy: -6.8875 eV/atom

(8)
This record from the Alexandria database describes a relaxed P2HAu crystal. The functional is GGA-PBEsol.

Structure (CIF):
```
data_P2HAu
_cell_length_a 4.051
_cell_length_b 4.051
_cell_length_c 13.537
_cell_angle_alpha 90.00
_cell_angle_beta 90.00
_cell_angle_gamma 90.00
_space_group_name_H-M_alt 'I -4 2 d'
_space_group_IT_number 122
_space_group_name_Hall 'I -4 2bw'
loop_
_atom_site_label
_atom_site_fract_x
_atom_site_fract_y
_atom_site_fract_z
P1 0.145 0.250 0.125
H1 0.000 0.000 0.000
Au1 0.000 0.000 0.500
```

Properties
M_tot: 0.00 μB per atom
Uncorrected energy: -4.2379 eV/atom

(9)
This record from the Alexandria database describes a relaxed HPbAuS2 crystal. The functional is GGA-PBEsol.

Structure (CIF):
```
data_HPbAuS2
_cell_length_a 4.813
_cell_length_b 4.813
_cell_length_c 3.618
_cell_angle_alpha 90.00
_cell_angle_beta 90.00
_cell_angle_gamma 90.00
_space_group_name_H-M_alt 'P 4/m m m'
_space_group_IT_number 123
_space_group_name_Hall '-P 4 2'
loop_
_atom_site_label
_atom_site_fract_x
_atom_site_fract_y
_atom_site_fract_z
H1 0.000 0.000 0.000
Pb1 0.500 0.500 0.500
Au1 0.000 0.000 0.500
S1 0.000 0.500 0.000
```

Properties
M_tot: 0.00 μB per atom
Uncorrected energy: -3.7046 eV/atom

(10)
This record from the Alexandria database describes a relaxed HPd2Au crystal. The functional is GGA-PBEsol.

Structure (CIF):
```
data_HPd2Au
_cell_length_a 5.991
_cell_length_b 5.991
_cell_length_c 5.658
_cell_angle_alpha 90.00
_cell_angle_beta 90.00
_cell_angle_gamma 90.00
_space_group_name_H-M_alt 'I -4 2 d'
_space_group_IT_number 122
_space_group_name_Hall 'I -4 2bw'
loop_
_atom_site_label
_atom_site_fract_x
_atom_site_fract_y
_atom_site_fract_z
H1 0.000 0.000 0.000
Pd1 0.137 0.750 0.125
Au1 0.000 0.000 0.500
```

Properties
M_tot: 0.00 μB per atom
Uncorrected energy: -4.7851 eV/atom

(11)
This record from the Alexandria database describes a relaxed H2PdAu2 crystal. The functional is GGA-PBEsol.

Structure (CIF):
```
data_H2PdAu2
_cell_length_a 3.938
_cell_length_b 3.938
_cell_length_c 3.897
_cell_angle_alpha 90.00
_cell_angle_beta 90.00
_cell_angle_gamma 90.00
_space_group_name_H-M_alt 'P 4/m m m'
_space_group_IT_number 123
_space_group_name_Hall '-P 4 2'
loop_
_atom_site_label
_atom_site_fract_x
_atom_site_fract_y
_atom_site_fract_z
H1 0.000 0.500 0.000
Pd1 0.000 0.000 0.000
Au1 0.000 0.500 0.500
```

Properties
M_tot: 0.00 μB per atom
Uncorrected energy: -4.0657 eV/atom

(12)
This record from the Alexandria database describes a relaxed HPd3Au crystal. The functional is GGA-PBEsol.

Structure (CIF):
```
data_HPd3Au
_cell_length_a 3.971
_cell_length_b 3.971
_cell_length_c 3.971
_cell_angle_alpha 90.00
_cell_angle_beta 90.00
_cell_angle_gamma 90.00
_space_group_name_H-M_alt 'P m -3 m'
_space_group_IT_number 221
_space_group_name_Hall '-P 4 2 3'
loop_
_atom_site_label
_atom_site_fract_x
_atom_site_fract_y
_atom_site_fract_z
H1 0.000 0.000 0.000
Pd1 0.000 0.000 0.500
Au1 0.500 0.500 0.500
```

Properties
M_tot: 0.00 μB per atom
Uncorrected energy: -5.1392 eV/atom

(13)
This record from the Alexandria database describes a relaxed H3PtAu crystal. The functional is GGA-PBEsol.

Structure (CIF):
```
data_H3PtAu
_cell_length_a 3.564
_cell_length_b 3.564
_cell_length_c 3.564
_cell_angle_alpha 90.00
_cell_angle_beta 90.00
_cell_angle_gamma 90.00
_space_group_name_H-M_alt 'P m -3 m'
_space_group_IT_number 221
_space_group_name_Hall '-P 4 2 3'
loop_
_atom_site_label
_atom_site_fract_x
_atom_site_fract_y
_atom_site_fract_z
H1 0.000 0.000 0.500
Pt1 0.500 0.500 0.500
Au1 0.000 0.000 0.000
```

Properties
M_tot: 0.00 μB per atom
Uncorrected energy: -3.4949 eV/atom

(14)
This record from the Alexandria database describes a relaxed ScHPt2Au crystal. The functional is GGA-PBEsol.

Structure (CIF):
```
data_ScHPt2Au
_cell_length_a 4.002
_cell_length_b 4.002
_cell_length_c 4.183
_cell_angle_alpha 90.00
_cell_angle_beta 90.00
_cell_angle_gamma 90.00
_space_group_name_H-M_alt 'P 4/m m m'
_space_group_IT_number 123
_space_group_name_Hall '-P 4 2'
loop_
_atom_site_label
_atom_site_fract_x
_atom_site_fract_y
_atom_site_fract_z
Sc1 0.000 0.000 0.000
H1 0.000 0.000 0.500
Pt1 0.000 0.500 0.500
Au1 0.500 0.500 0.000
```

Properties
M_tot: 0.00 μB per atom
Uncorrected energy: -6.1539 eV/atom